[1]
# Th7Mn2Bi2

A relaxed structure of Th7Mn2Bi2 (PBE, the Alexandria database).

Unit cell a=9.821 b=9.821 c=9.821 alpha=157.22 beta=65.39 gamma=119.63
Positions (direct):
1 Th 0.000 0.000 0.000
2 Th 0.059 0.377 0.681
3 Th 0.076 0.733 0.343
4 Th 0.390 0.733 0.657
5 Th 0.432 0.574 0.858
6 Th 0.696 0.377 0.319
7 Th 0.716 0.574 0.142
8 Mn 0.288 0.061 0.227
9 Mn 0.834 0.061 0.773
10 Bi 0.336 0.336 0.000
11 Bi 0.723 0.223 0.500

## Properties
Crystal system: orthorhombic

***

[2]
# Th7Mn2Bi3

A relaxed structure of Th7Mn2Bi3 (PBE, the Alexandria database).

Unit cell a=13.539 b=13.539 c=4.990 alpha=90.00 beta=90.00 gamma=157.42
Positions (direct):
1 Th 0.000 0.000 0.000
2 Th 0.103 0.897 0.500
3 Th 0.207 0.793 0.000
4 Th 0.397 0.603 0.000
5 Th 0.603 0.397 0.000
6 Th 0.793 0.207 0.000
7 Th 0.897 0.103 0.500
8 Mn 0.096 0.904 0.000
9 Mn 0.904 0.096 0.000
10 Bi 0.305 0.695 0.500
11 Bi 0.500 0.500 0.500
12 Bi 0.695 0.305 0.500

## Properties
Crystal system: orthorhombic

***

The magnetic moment results, record by record, are as follows: 0.0; 0.0 μB per cell.
The calculated formation energy results, record by record, are as follows: -118; -261 meV/atom.